Entry 1:
Crystalline ZnAgAs2 at its relaxed geometry, computed with GGA-PBE.

Unit cell a=3.026 b=3.026 c=8.026 alpha=90.00 beta=90.00 gamma=90.00
Space group P4/mmm (No. 123)
Inequivalent atoms, fractional coordinates:
Zn 0.000 0.000 0.000 x1
Ag 0.000 0.000 0.500 x1
As 0.500 0.500 0.241 x2

Summary:
energy relative to the elements	0.243	eV/atom

Entry 2:
Crystalline CaZn2Ag2 at its relaxed geometry, computed with GGA-PBE.

Unit cell a=7.867 b=7.867 c=3.081 alpha=90.00 beta=90.00 gamma=90.00
Space group P4/mbm (No. 127)
Inequivalent atoms, fractional coordinates:
Ca 0.000 0.000 0.000 x2
Zn 0.119 0.381 0.000 x4
Ag 0.177 0.677 0.500 x4

Summary:
energy relative to the elements	-0.126	eV/atom

Entry 3:
Crystalline KCo2C2 at its relaxed geometry, computed with GGA-PBE.

Unit cell a=7.539 b=7.539 c=2.853 alpha=90.00 beta=90.00 gamma=90.00
Space group P4/mbm (No. 127)
Inequivalent atoms, fractional coordinates:
K 0.000 0.000 0.000 x2
Co 0.107 0.393 0.000 x4
C 0.070 0.570 0.500 x4

Summary:
energy relative to the elements	1.200	eV/atom

Entry 4:
Crystalline Pm2Ga5Pt3 at its relaxed geometry, computed with GGA-PBE.

Unit cell a=4.401 b=25.117 c=6.857 alpha=90.00 beta=90.00 gamma=90.00
Space group Cmc2_1 (No. 36)
Inequivalent atoms, fractional coordinates:
Pm 0.000 0.017 0.000 x4
Pm 0.000 0.325 0.978 x4
Ga 0.000 0.104 0.658 x4
Ga 0.000 0.206 0.172 x4
Ga 0.000 0.208 0.768 x4
Ga 0.000 0.377 0.506 x4
Ga 0.000 0.448 0.822 x4
Pt 0.000 0.107 0.266 x4
Pt 0.000 0.275 0.468 x4
Pt 0.000 0.448 0.215 x4

Summary:
energy relative to the elements	-0.891	eV/atom

Entry 5:
Crystalline TlFe2NiC at its relaxed geometry, computed with GGA-PBE.

Unit cell a=3.855 b=3.855 c=3.940 alpha=90.00 beta=90.00 gamma=90.00
Space group P4/mmm (No. 123)
Inequivalent atoms, fractional coordinates:
Tl 0.000 0.000 0.000 x1
Fe 0.000 0.500 0.500 x2
Ni 0.500 0.500 0.000 x1
C 0.500 0.500 0.500 x1

Summary:
energy relative to the elements	0.261	eV/atom

Entry 6:
Crystalline La14TbSc at its relaxed geometry, computed with GGA-PBE.

Unit cell a=10.467 b=10.403 c=10.387 alpha=90.00 beta=90.00 gamma=90.00
Space group Amm2 (No. 38)
Inequivalent atoms, fractional coordinates:
La 0.000 0.000 0.000 x2
La 0.000 0.000 0.499 x2
La 0.000 0.250 0.250 x4
La 0.254 0.000 0.754 x4
La 0.254 0.246 0.000 x8
La 0.255 0.000 0.245 x4
La 0.500 0.250 0.250 x4
Tb 0.500 0.000 0.500 x2
Sc 0.500 0.000 0.999 x2

Summary:
energy relative to the elements	0.017	eV/atom

Entry 7:
Crystalline TbGa5Ni2Pd at its relaxed geometry, computed with GGA-PBE.

Unit cell a=4.657 b=4.657 c=7.036 alpha=90.00 beta=90.00 gamma=90.00
Space group P4/mmm (No. 123)
Inequivalent atoms, fractional coordinates:
Tb 0.000 0.000 0.000 x1
Ga 0.000 0.500 0.300 x4
Ga 0.500 0.500 0.000 x1
Ni 0.500 0.500 0.324 x2
Pd 0.000 0.000 0.500 x1

Summary:
energy relative to the elements	-0.320	eV/atom

Entry 8:
Crystalline ScAl3Bi at its relaxed geometry, computed with GGA-PBE.

Unit cell a=5.250 b=5.250 c=5.250 alpha=90.00 beta=90.00 gamma=90.00
Space group Pm-3m (No. 221)
Inequivalent atoms, fractional coordinates:
Sc 0.000 0.000 0.000 x1
Al 0.000 0.000 0.500 x3
Bi 0.500 0.500 0.500 x1

Summary:
energy relative to the elements	0.826	eV/atom

Entry 9:
Crystalline Ho6Tm12Pb at its relaxed geometry, computed with GGA-PBE.

Unit cell a=11.6780 b=11.6780 c=14.8195 alpha=90.00 beta=90.00 gamma=120.00
Space group R-3 (No. 148, hexagonal axes)
Inequivalent atoms, fractional coordinates:
Ho 0.0126 0.4244 0.1809 x18
Tm 0.0075 0.8273 0.6888 x18
Tm 0.0411 0.8488 0.9163 x18
Pb 0.0000 0.0000 0.5000 x3

Summary:
energy relative to the elements	0.070	eV/atom

Entry 10:
Crystalline Sr2LiTi6N2O11 at its relaxed geometry, computed with GGA-PBE.

Unit cell a=15.100 b=3.882 c=9.379 alpha=90.00 beta=97.39 gamma=90.00
Space group Cm (No. 8)
Inequivalent atoms, fractional coordinates:
Sr 0.000 0.000 0.000 x2
Sr 0.085 0.000 0.531 x2
Li 0.319 0.500 0.803 x2
Ti 0.148 0.500 0.844 x2
Ti 0.199 0.500 0.199 x2
Ti 0.270 0.500 0.522 x2
Ti 0.296 0.000 0.010 x2
Ti 0.368 0.000 0.338 x2
Ti 0.407 0.000 0.660 x2
N 0.199 0.500 0.674 x2
N 0.300 0.000 0.508 x2
O 0.029 0.500 0.771 x2
O 0.097 0.500 0.078 x2
O 0.159 0.000 0.891 x2
O 0.161 0.500 0.379 x2
O 0.232 0.000 0.195 x2
O 0.271 0.500 0.996 x2
O 0.339 0.500 0.320 x2
O 0.356 0.000 0.841 x2
O 0.400 0.500 0.654 x2
O 0.403 0.000 0.133 x2
O 0.472 0.000 0.465 x2

Entry 11:
Crystalline ScTl2Si2 at its relaxed geometry, computed with GGA-PBE.

Unit cell a=7.057 b=7.057 c=4.556 alpha=90.00 beta=90.00 gamma=90.00
Space group P4/mbm (No. 127)
Inequivalent atoms, fractional coordinates:
Sc 0.000 0.000 0.000 x2
Tl 0.188 0.312 0.500 x4
Si 0.118 0.618 0.000 x4

Entry 12:
Crystalline Tl5Te2Se4 at its relaxed geometry, computed with GGA-PBE.

Unit cell a=4.241 b=8.046 c=11.302 alpha=97.65 beta=92.20 gamma=99.59
Space group P-1 (No. 2)
Inequivalent atoms, fractional coordinates:
Tl 0.000 0.000 0.000 x1
Tl 0.128 0.274 0.442 x2
Tl 0.244 0.554 0.868 x2
Te 0.069 0.141 0.727 x2
Se 0.333 0.614 0.315 x2
Se 0.463 0.908 0.769 x2

Entry 13:
Crystalline PuPaReGe at its relaxed geometry, computed with GGA-PBE.

Unit cell a=3.983 b=4.007 c=11.067 alpha=90.00 beta=90.00 gamma=90.00
Space group Amm2 (No. 38)
Inequivalent atoms, fractional coordinates:
Pu 0.000 0.000 0.000 x2
Pa 0.500 0.000 0.716 x2
Re 0.000 0.000 0.264 x2
Ge 0.500 0.000 0.424 x2

Summary:
energy relative to the elements	-0.211	eV/atom

Entry 14:
Crystalline Ho8Co2Cu at its relaxed geometry, computed with GGA-PBE.

Unit cell a=8.185 b=12.215 c=5.879 alpha=90.00 beta=106.72 gamma=90.00
Space group Cm (No. 8)
Inequivalent atoms, fractional coordinates:
Ho 0.000 0.000 0.000 x2
Ho 0.075 0.366 0.791 x4
Ho 0.161 0.134 0.587 x4
Ho 0.235 0.500 0.385 x2
Ho 0.365 0.224 0.194 x4
Co 0.369 0.311 0.690 x4
Cu 0.365 0.000 0.352 x2

Summary:
energy relative to the elements	-0.040	eV/atom

Entry 15:
Crystalline LuMg16Al12 at its relaxed geometry, computed with GGA-PBE.

Unit cell a=15.0393 b=15.0393 c=8.9708 alpha=90.00 beta=90.00 gamma=120.00
Space group R3m (No. 160, hexagonal axes)
Inequivalent atoms, fractional coordinates:
Lu 0.0000 0.0000 0.0000 x3
Mg 0.0000 0.0000 0.3727 x3
Mg 0.0060 0.3061 0.6784 x18
Mg 0.0656 0.5328 0.5904 x9
Mg 0.2199 0.1100 0.8744 x9
Mg 0.2198 0.4395 0.1552 x9
Al 0.0611 0.1222 0.6849 x9
Al 0.0924 0.5462 0.1074 x9
Al 0.1530 0.4845 0.8540 x18

Summary:
energy relative to the elements	-0.065	eV/atom

Entry 16:
Crystalline Zr2TaTl at its relaxed geometry, computed with GGA-PBE.

Unit cell a=4.291 b=4.291 c=9.377 alpha=90.00 beta=90.00 gamma=90.00
Space group I-4m2 (No. 119)
Inequivalent atoms, fractional coordinates:
Zr 0.000 0.000 0.000 x2
Zr 0.000 0.500 0.250 x2
Ta 0.000 0.000 0.500 x2
Tl 0.000 0.500 0.750 x2

Summary:
energy relative to the elements	0.107	eV/atom

Entry 17:
Crystalline BaMoBr4 at its relaxed geometry, computed with GGA-PBE.

Unit cell a=9.226 b=9.226 c=9.226 alpha=90.00 beta=90.00 gamma=90.00
Space group F-43m (No. 216)
Inequivalent atoms, fractional coordinates:
Ba 0.000 0.000 0.000 x4
Mo 0.250 0.250 0.250 x4
Br 0.124 0.124 0.624 x16

Entry 18:
Crystalline CaHgSb at its relaxed geometry, computed with GGA-PBE.

Unit cell a=4.7387 b=4.7387 c=4.4398 alpha=90.00 beta=90.00 gamma=120.00
Space group P3m1 (No. 156)
Inequivalent atoms, fractional coordinates:
Ca 0.0000 0.0000 0.0000 x1
Hg 0.6667 0.3333 0.3431 x1
Sb 0.3333 0.6667 0.5880 x1

Entry 19:
Crystalline CsYCl4 at its relaxed geometry, computed with GGA-PBE.

Unit cell a=4.749 b=4.749 c=8.266 alpha=90.00 beta=90.00 gamma=90.00
Space group P4/mmm (No. 123)
Inequivalent atoms, fractional coordinates:
Cs 0.000 0.000 0.000 x1
Y 0.500 0.500 0.500 x1
Cl 0.000 0.500 0.308 x4

Entry 20:
Crystalline Re3IN at its relaxed geometry, computed with GGA-PBE.

Unit cell a=4.203 b=4.203 c=4.203 alpha=90.00 beta=90.00 gamma=90.00
Space group Pm-3m (No. 221)
Inequivalent atoms, fractional coordinates:
Re 0.000 0.000 0.500 x3
I 0.500 0.500 0.500 x1
N 0.000 0.000 0.000 x1

Entry 21:
Crystalline LiMn2Br at its relaxed geometry, computed with GGA-PBE.

Unit cell a=6.462 b=6.462 c=6.462 alpha=90.00 beta=90.00 gamma=90.00
Space group Fm-3m (No. 225)
Inequivalent atoms, fractional coordinates:
Li 0.000 0.000 0.000 x4
Mn 0.250 0.250 0.250 x8
Br 0.000 0.000 0.500 x4

Entry 22:
Crystalline LiLa3Tm3S8 at its relaxed geometry, computed with GGA-PBE.

Unit cell a=7.8702 b=7.8702 c=19.7820 alpha=90.00 beta=90.00 gamma=120.00
Space group R-3m (No. 166, hexagonal axes)
Inequivalent atoms, fractional coordinates:
Li 0.0000 0.0000 0.0000 x3
La 0.0000 0.5000 0.5000 x9
Tm 0.0000 0.5000 0.0000 x9
S 0.0000 0.0000 0.2579 x6
S 0.0015 0.5008 0.2572 x18

no.,E_tot (eV/atom),total magnetization (μB/f.u.)
1,-3.113,0.0
2,-2.176,0.0
3,-5.551,2.0
4,-5.166,0.0
5,-6.598,3.5
6,-4.980,0.0
7,-4.377,0.0
8,-3.462,1.0
9,-4.394,0.0
10,-8.331,0.0
11,-4.274,0.0
12,-3.112,0.0
13,-10.434,5.5
14,-5.034,0.0
15,-2.650,0.0
16,-7.722,0.0
17,-3.043,6.5
18,-2.663,0.0
19,-4.545,0.0
20,-8.222,0.0
21,-4.883,7.6
22,-6.230,0.0